A plane-wave DFT calculation with PBE-GGA was carried out for a geometry-optimized Er3Al3Ga8 structure.

Properties
* spin magnetization: 0.000 μB/f.u.
* crystal system: orthorhombic
* energy of formation from the pure elements: -5.6 eV per formula unit

extended XYZ file:
```
14
Lattice="-2.0861 4.9089 6.4665 2.0861 -4.9089 6.4665 2.0861 4.9089 -6.4665" Properties=species:S:1:pos:R:3 pbc="T T T"
Er 0.0000 0.0000 0.0000
Er 0.0000 0.0000 4.0728
Er 0.0000 0.0000 8.8601
Al 2.0861 2.8397 0.0000
Al 0.0000 4.9089 0.0000
Al 0.0000 2.0693 6.4665
Ga 2.0861 -1.2532 2.1224
Ga 2.0861 -2.1547 4.6818
Ga 2.0861 1.2532 2.1224
Ga 0.0000 2.7543 1.7847
Ga 2.0861 2.1547 4.6818
Ga 0.0000 3.6557 4.3441
Ga 0.0000 7.0636 1.7847
Ga 0.0000 6.1622 4.3441
```

A plane-wave DFT calculation with PBE-GGA was carried out for a geometry-optimized LaAlTe2 structure.

Properties
* uncorrected formation energy: -0.728 eV per atom
* spin magnetization: 0.000 μB/f.u.
* crystal system: trigonal

extended XYZ file:
```
4
Lattice="2.2388 1.2926 8.0797 -2.2388 1.2926 8.0797 0.0000 -2.5852 8.0797" Properties=species:S:1:pos:R:3 pbc="T T T"
La 0.0000 0.0000 0.0000
Al 0.0000 0.0000 6.1559
Te 0.0000 0.0000 13.1246
Te 0.0000 0.0000 17.9260
```

A plane-wave DFT calculation with PBE-GGA was carried out for a geometry-optimized Er5Pd2Ru structure.

Properties
* spin magnetization: 0.000 μB/f.u.
* crystal system: orthorhombic
* energy of formation from the pure elements: -5.0 eV per formula unit

extended XYZ file:
```
16
Lattice="7.5980 0.0000 0.0000 0.0000 11.7797 0.0000 0.0000 0.0000 4.2921" Properties=species:S:1:pos:R:3 pbc="T T T"
Er 0.0000 0.0000 0.0000
Er 1.2007 3.4972 0.0000
Er 1.3653 6.8947 2.1461
Er 2.4338 1.0048 2.1461
Er 2.5983 9.3870 0.0000
Er 3.7990 5.8898 0.0000
Er 4.9997 2.3927 0.0000
Er 5.1643 10.7749 2.1461
Er 6.2328 4.8850 2.1461
Er 6.3974 8.2825 0.0000
Pd 0.4017 9.7969 2.1461
Pd 3.3973 3.9070 2.1461
Pd 4.2007 7.8727 2.1461
Pd 7.1964 1.9828 2.1461
Ru 0.0000 5.8898 0.0000
Ru 3.7990 0.0000 0.0000
```

A plane-wave DFT calculation with PBE-GGA was carried out for a geometry-optimized PaAl3CuAu structure.

Properties
* spin magnetization: 0.735 μB/f.u.
* crystal system: orthorhombic
* energy of formation from the pure elements: -0.4 eV per formula unit

extended XYZ file:
```
12
Lattice="3.0460 -6.3198 0.0000 3.0460 6.3198 0.0000 0.0000 0.0000 5.8146" Properties=species:S:1:pos:R:3 pbc="T T T"
Pa 3.0460 3.6649 4.3610
Pa 3.0460 -3.6649 1.4537
Al 1.2852 0.0000 0.0000
Al 1.2852 0.0000 2.9073
Al 3.0460 1.6697 1.4537
Al 3.0460 -1.6697 4.3610
Al 4.8068 0.0000 0.0000
Al 4.8068 0.0000 2.9073
Cu 3.0460 0.9761 4.3610
Cu 3.0460 -0.9761 1.4537
Au 3.0460 4.2862 1.4537
Au 3.0460 -4.2862 4.3610
```

A plane-wave DFT calculation with PBE-GGA was carried out for a geometry-optimized Li2Zn2I structure.

Properties
* uncorrected formation energy: -0.082 eV per atom
* spin magnetization: 0.000 μB/f.u.
* crystal system: tetragonal

extended XYZ file:
```
10
Lattice="7.7245 0.0000 0.0000 0.0000 7.7245 0.0000 0.0000 0.0000 3.7175" Properties=species:S:1:pos:R:3 pbc="T T T"
Li 1.3059 2.5563 0.0000
Li 2.5563 6.4186 0.0000
Li 5.1682 1.3059 0.0000
Li 6.4186 5.1682 0.0000
Zn 0.9176 4.7799 1.8587
Zn 2.9446 0.9176 1.8587
Zn 4.7799 6.8069 1.8587
Zn 6.8069 2.9446 1.8587
I 0.0000 0.0000 1.8587
I 3.8622 3.8622 1.8587
```

A plane-wave DFT calculation with PBE-GGA was carried out for a geometry-optimized TlCd2WI structure.

Properties
* uncorrected formation energy: 0.872 eV per atom
* spin magnetization: 3.751 μB/f.u.
* crystal system: tetragonal

extended XYZ file:
```
5
Lattice="5.5635 0.0000 0.0000 0.0000 5.5635 0.0000 0.0000 0.0000 5.6407" Properties=species:S:1:pos:R:3 pbc="T T T"
Tl 0.0000 0.0000 0.0000
Cd 0.0000 2.7818 2.8204
Cd 2.7818 0.0000 2.8204
W 0.0000 0.0000 2.8204
I 2.7818 2.7818 0.0000
```

A plane-wave DFT calculation with PBE-GGA was carried out for a geometry-optimized TcSbCBr2 structure.

Properties
* uncorrected formation energy: 1.563 eV per atom
* spin magnetization: 3.681 μB/f.u.
* crystal system: tetragonal

extended XYZ file:
```
5
Lattice="4.6405 0.0000 0.0000 0.0000 4.6405 0.0000 0.0000 0.0000 4.8984" Properties=species:S:1:pos:R:3 pbc="T T T"
Tc 0.0000 0.0000 0.0000
Sb 2.3202 2.3202 0.0000
C 2.3202 2.3202 2.4492
Br 0.0000 2.3202 2.4492
Br 2.3202 0.0000 2.4492
```

A plane-wave DFT calculation with PBE-GGA was carried out for a geometry-optimized LuTlGaHg structure.

Properties
* spin magnetization: 0.000 μB/f.u.
* crystal system: cubic
* energy of formation from the pure elements: -0.4 eV per formula unit

extended XYZ file:
```
4
Lattice="0.0000 3.6428 3.6428 3.6428 0.0000 3.6428 3.6428 3.6428 0.0000" Properties=species:S:1:pos:R:3 pbc="T T T"
Lu 0.0000 0.0000 0.0000
Tl 3.6428 3.6428 3.6428
Ga 1.8214 1.8214 1.8214
Hg 5.4643 5.4643 5.4643
```

A plane-wave DFT calculation with PBE-GGA was carried out for a geometry-optimized Ac2AgH6Ru structure.

Properties
* uncorrected energy: -44.068 eV/cell
* spin magnetization: 0.001 μB/f.u.
* crystal system: monoclinic

extended XYZ file:
```
10
Lattice="3.9719 -4.0054 0.0000 3.9719 4.0054 0.0000 -3.9553 0.0000 3.9906" Properties=species:S:1:pos:R:3 pbc="T T T"
Ac 3.9719 2.0013 0.0000
Ac 3.9719 -2.0013 0.0000
Ag -1.9777 0.0000 1.9953
H 0.2427 0.0000 2.0012
H 1.9937 0.0000 0.2411
H 1.9943 1.7562 1.9953
H 1.9943 -1.7562 1.9953
H 1.9948 0.0000 3.7495
H 3.7458 0.0000 1.9894
Ru 1.9943 0.0000 1.9953
```

A plane-wave DFT calculation with PBE-GGA was carried out for a geometry-optimized BAs2Au2 structure.

Properties
* spin magnetization: 0.000 μB/f.u.
* crystal system: tetragonal
* energy of formation from the pure elements: 5.1 eV per formula unit

extended XYZ file:
```
5
Lattice="-1.8064 1.8064 7.3625 1.8064 -1.8064 7.3625 1.8064 1.8064 -7.3625" Properties=species:S:1:pos:R:3 pbc="T T T"
B 0.0000 0.0000 0.0000
As 1.8064 0.0000 3.6813
As 0.0000 1.8064 3.6813
Au 0.0000 0.0000 6.0484
Au 0.0000 0.0000 8.6766
```

A plane-wave DFT calculation with PBE-GGA was carried out for a geometry-optimized Sc3CrOs structure.

Properties
* spin magnetization: 4.325 μB/f.u.
* crystal system: cubic
* energy of formation from the pure elements: 1.6 eV per formula unit

extended XYZ file:
```
5
Lattice="5.0176 0.0000 0.0000 0.0000 5.0176 0.0000 0.0000 0.0000 5.0176" Properties=species:S:1:pos:R:3 pbc="T T T"
Sc 0.0000 0.0000 2.5088
Sc 0.0000 2.5088 0.0000
Sc 2.5088 0.0000 0.0000
Cr 2.5088 2.5088 2.5088
Os 0.0000 0.0000 0.0000
```

A plane-wave DFT calculation with PBE-GGA was carried out for a geometry-optimized NaPr3In12 structure.

Properties
* spin magnetization: 0.000 μB/f.u.
* crystal system: tetragonal
* energy of formation from the pure elements: -5.8 eV per formula unit

extended XYZ file:
```
16
Lattice="4.7351 0.0000 0.0000 0.0000 4.7351 0.0000 0.0000 0.0000 18.8456" Properties=species:S:1:pos:R:3 pbc="T T T"
Na 0.0000 0.0000 0.0000
Pr 0.0000 0.0000 4.6769
Pr 0.0000 0.0000 9.4228
Pr 0.0000 0.0000 14.1687
In 0.0000 2.3676 2.2647
In 0.0000 2.3676 7.0446
In 0.0000 2.3676 11.8010
In 0.0000 2.3676 16.5809
In 2.3676 0.0000 2.2647
In 2.3676 0.0000 7.0446
In 2.3676 0.0000 11.8010
In 2.3676 0.0000 16.5809
In 2.3676 2.3676 0.0000
In 2.3676 2.3676 4.7439
In 2.3676 2.3676 9.4228
In 2.3676 2.3676 14.1017
```